{"formula": "Ni2TeP", "functional": "PBE", "state": "relaxed", "cell": [[-1.611, 1.641, 5.976], [1.611, -1.641, 5.976], [1.611, 1.641, -5.976]], "species": ["Ni", "Ni", "Te", "P"], "fractional_positions": [[0.995, 0.995, 0.000], [0.167, 0.667, 0.500], [0.798, 0.298, 0.500], [0.539, 0.539, 0.000]], "volume_a3_per_cell": 63.2, "formation_energy_uncorrected_ev_per_atom": -0.0628}